(1)
Material: LiLaNi2Os
Method: DFT, PBE-GGA
State: relaxed

The structure in CIF format:
```
data_LiLaNi2Os
_chemical_formula_sum 'Li1 La1 Ni2 Os1'
_space_group_name_H-M_alt 'P 1'
_space_group_IT_number 1
_cell_length_a 4.243
_cell_length_b 4.450
_cell_length_c 4.243
_cell_angle_alpha 90.00
_cell_angle_beta 90.00
_cell_angle_gamma 90.00
loop_
_space_group_symop_operation_xyz
'x,y,z'
loop_
_atom_site_label
_atom_site_type_symbol
_atom_site_fract_x
_atom_site_fract_y
_atom_site_fract_z
Ni1 Ni 0.000 0.000 0.500
Ni2 Ni 0.500 0.000 0.000
Li1 Li 0.000 0.000 0.000
Os1 Os 0.000 0.500 0.000
La1 La 0.500 0.500 0.500
```

Computed properties:
* magnetic moment: 0.97 μB per formula unit
* energy relative to the elements: 457 meV/atom
* VASP energy: -5.47 eV/atom
* volume: 80.1 Å³/f.u.

(2)
Material: Li3La2Ni12Os
Method: DFT, PBE-GGA
State: relaxed

The structure in CIF format:
```
data_Li3La2Ni12Os
_chemical_formula_sum 'Li3 La2 Ni12 Os1'
_space_group_name_H-M_alt 'P 1'
_space_group_IT_number 1
_cell_length_a 9.575
_cell_length_b 9.575
_cell_length_c 9.575
_cell_angle_alpha 35.50
_cell_angle_beta 35.50
_cell_angle_gamma 35.50
loop_
_space_group_symop_operation_xyz
'x,y,z'
loop_
_atom_site_label
_atom_site_type_symbol
_atom_site_fract_x
_atom_site_fract_y
_atom_site_fract_z
Ni1 Ni 0.414 0.811 0.414
Ni2 Ni 0.920 0.370 0.920
Ni3 Ni 0.189 0.586 0.586
Ni4 Ni 0.414 0.414 0.811
Ni5 Ni 0.630 0.080 0.080
Ni6 Ni 0.811 0.414 0.414
Ni7 Ni 0.586 0.586 0.189
Ni8 Ni 0.080 0.080 0.630
Ni9 Ni 0.586 0.189 0.586
Ni10 Ni 0.080 0.630 0.080
Ni11 Ni 0.920 0.920 0.370
Ni12 Ni 0.370 0.920 0.920
Os1 Os 0.000 0.000 0.000
Li1 Li 0.500 0.000 0.000
Li2 Li 0.000 0.500 0.000
Li3 Li 0.000 0.000 0.500
La1 La 0.355 0.355 0.355
La2 La 0.645 0.645 0.645
```

Computed properties:
* magnetic moment: 2.20 μB per formula unit
* energy relative to the elements: 188 meV/atom
* VASP energy: -5.16 eV/atom
* volume: 264.5 Å³/f.u.